This record from Alexandria via LeMat-Bulk describes a geometry-optimized Li8Tl6Au structure. The functional is PBE.

The space group is R-3 (No. 148, hexagonal axes) and the conventional cell measures 7.8708, 7.8708 and 17.9014 Å, with angles of 90.00, 90.00 and 120.00 degrees. The asymmetric unit holds Li at (0.0000, 0.0000, 0.0905), Li at (0.0434, 0.2588, 0.6189), Tl at (0.9997, 0.2560, 0.7767) and Au at (0.0000, 0.0000, 0.5000).

As for the total magnetization: 0.0 μB per cell. The electronic total energy comes out at -2.383 eV per atom. Its density of states at the Fermi level is 0.203 states/eV/atom.